1.
{"formula": "Sc4CdAg2Pd", "functional": "PBE", "state": "optimized geometry", "total_magnetization_mub_per_cell": 0.0, "density_g_cm3": 6.33, "e_form_ev_per_atom": -0.432, "lattice_angstrom": [[4.855, 0.000, 0.000], [2.428, 4.205, 0.000], [2.428, 1.402, 7.890]], "species": ["Sc", "Sc", "Sc", "Sc", "Ag", "Ag", "Pd", "Cd"], "fractional_positions": [[0.618, 0.618, 0.145], [0.382, 0.382, 0.855], [0.870, 0.870, 0.390], [0.130, 0.130, 0.610], [0.256, 0.256, 0.232], [0.744, 0.744, 0.768], [0.500, 0.500, 0.500], [0.000, 0.000, 0.000]]}

=====

2.
{"formula": "Pr2NdTa", "functional": "PBE", "state": "optimized geometry", "total_magnetization_mub_per_cell": 0.0, "density_g_cm3": 8.48, "e_form_ev_per_atom": 0.695, "lattice_angstrom": [[-1.672, 0.383, 2.858], [-2.169, -2.331, 0.988], [7.756, -6.485, 7.352]], "species": ["Nd", "Pr", "Pr", "Ta"], "fractional_positions": [[0.500, 0.500, 0.500], [0.080, 0.080, 0.761], [0.920, 0.920, 0.239], [0.000, 0.000, 0.000]]}

=====

Repeat the second record exactly.
{"formula": "Pr2NdTa", "functional": "PBE", "state": "optimized geometry", "total_magnetization_mub_per_cell": 0.0, "density_g_cm3": 8.48, "e_form_ev_per_atom": 0.695, "lattice_angstrom": [[-1.672, 0.383, 2.858], [-2.169, -2.331, 0.988], [7.756, -6.485, 7.352]], "species": ["Nd", "Pr", "Pr", "Ta"], "fractional_positions": [[0.500, 0.500, 0.500], [0.080, 0.080, 0.761], [0.920, 0.920, 0.239], [0.000, 0.000, 0.000]]}